(1)
The following is a DFT calculation (PBE) of a relaxed MgTcGe2 crystal.

Cell and atoms, written as CIF:
```
data_MgTcGe2
_cell_length_a 9.2573
_cell_length_b 9.2573
_cell_length_c 9.2573
_cell_angle_alpha 19.34
_cell_angle_beta 19.34
_cell_angle_gamma 19.34
_symmetry_space_group_name_H-M 'P 1'
_symmetry_Int_Tables_number 1
loop_
_symmetry_equiv_pos_as_xyz
'x,y,z'
loop_
_atom_site_label
_atom_site_type_symbol
_atom_site_fract_x
_atom_site_fract_y
_atom_site_fract_z
_atom_site_occupancy
Mg1 Mg 0.0000 0.0000 0.0000 1
Tc1 Tc 0.5000 0.5000 0.5000 1
Ge1 Ge 0.0997 0.0997 0.0997 1
Ge2 Ge 0.9003 0.9003 0.9003 1
```

formation energy from the elements = 48 meV/atom
density = 5.841 g cm⁻³

(2)
The following is a DFT calculation (PBE) of a relaxed Mg2TcGeW crystal.

Cell and atoms, written as CIF:
```
data_Mg2TcGeW
_cell_length_a 4.6849
_cell_length_b 4.6849
_cell_length_c 4.7771
_cell_angle_alpha 90.00
_cell_angle_beta 90.00
_cell_angle_gamma 90.00
_symmetry_space_group_name_H-M 'P 1'
_symmetry_Int_Tables_number 1
loop_
_symmetry_equiv_pos_as_xyz
'x,y,z'
loop_
_atom_site_label
_atom_site_type_symbol
_atom_site_fract_x
_atom_site_fract_y
_atom_site_fract_z
_atom_site_occupancy
Mg1 Mg 0.0000 0.5000 0.0000 1
Mg2 Mg 0.5000 0.0000 0.0000 1
Tc1 Tc 0.0000 0.0000 0.5000 1
Ge1 Ge 0.5000 0.5000 0.0000 1
W1 W 0.5000 0.5000 0.5000 1
```

formation energy from the elements = 1271 meV/atom
density = 6.384 g cm⁻³

(3)
The following is a DFT calculation (PBE) of a relaxed MgGe2Te2 crystal.

Cell and atoms, written as CIF:
```
data_MgGe2Te2
_cell_length_a 7.8318
_cell_length_b 7.8318
_cell_length_c 4.0915
_cell_angle_alpha 90.00
_cell_angle_beta 90.00
_cell_angle_gamma 90.00
_symmetry_space_group_name_H-M 'P 1'
_symmetry_Int_Tables_number 1
loop_
_symmetry_equiv_pos_as_xyz
'x,y,z'
loop_
_atom_site_label
_atom_site_type_symbol
_atom_site_fract_x
_atom_site_fract_y
_atom_site_fract_z
_atom_site_occupancy
Mg1 Mg 0.0000 0.0000 0.0000 1
Mg2 Mg 0.5000 0.5000 0.0000 1
Ge1 Ge 0.1338 0.3662 0.0000 1
Ge2 Ge 0.3662 0.8662 0.0000 1
Ge3 Ge 0.6338 0.1338 0.0000 1
Ge4 Ge 0.8662 0.6338 0.0000 1
Te1 Te 0.1837 0.6837 0.5000 1
Te2 Te 0.3163 0.1837 0.5000 1
Te3 Te 0.6837 0.8163 0.5000 1
Te4 Te 0.8163 0.3163 0.5000 1
```

density = 5.621 g cm⁻³
formation energy without anion corrections = 0.054 eV/atom